# 1
Ce8Re13B12 (GGA-PBEsol, optimized geometry); total magnetization = 0.0 μB/cell; energy of formation from the pure elements = -0.403 eV/atom
1.0
5.2958 3.0575 4.7794
-5.2958 3.0575 4.7794
0.0000 -6.1150 4.7794
Ce Re B
8 13 12
direct
0.1468 0.1468 0.1468
0.1786 0.6833 0.6833
0.3167 0.3167 0.8214
0.3167 0.8214 0.3167
0.6833 0.1786 0.6833
0.6833 0.6833 0.1786
0.8214 0.3167 0.3167
0.8532 0.8532 0.8532
0.0956 0.0956 0.5664
0.0956 0.5664 0.0956
0.1721 0.4254 0.4254
0.4254 0.1721 0.4254
0.4254 0.4254 0.1721
0.4336 0.9044 0.9044
0.5000 0.5000 0.5000
0.5664 0.0956 0.0956
0.5746 0.5746 0.8279
0.5746 0.8279 0.5746
0.8279 0.5746 0.5746
0.9044 0.4336 0.9044
0.9044 0.9044 0.4336
0.0000 0.1716 0.8284
0.0000 0.3473 0.6527
0.0000 0.6527 0.3473
0.0000 0.8284 0.1716
0.1716 0.0000 0.8284
0.1716 0.8284 0.0000
0.3473 0.0000 0.6527
0.3473 0.6527 0.0000
0.6527 0.0000 0.3473
0.6527 0.3473 0.0000
0.8284 0.0000 0.1716
0.8284 0.1716 0.0000

# 2
Y2BAu (GGA-PBEsol, optimized geometry); total magnetization = 0.0 μB/cell; energy of formation from the pure elements = -0.021 eV/atom
1.0
-3.5481 3.5481 3.5487
3.5481 -3.5481 3.5487
3.5481 3.5481 -3.5487
Y B Au
4 2 2
direct
0.0773 0.6250 0.9523
0.3750 0.3273 0.4523
0.6727 0.1250 0.0477
0.8750 0.9227 0.5477
0.0000 0.0000 0.0000
0.7500 0.2500 0.5000
0.2500 0.7500 0.5000
0.5000 0.5000 0.0000

# 3
YBiN2F (GGA-PBEsol, optimized geometry); total magnetization = 0.0 μB/cell; ΔE_f (raw) = -1.3 eV/f.u.
1.0
4.3915 0.0000 0.0000
0.0000 4.3915 0.0000
0.0000 0.0000 4.2326
Y Bi N F
1 1 2 1
direct
0.0000 0.0000 0.0000
0.5000 0.5000 0.5000
0.0000 0.5000 0.5000
0.5000 0.0000 0.5000
0.5000 0.5000 0.0000

# 4
Zn3CrPt (GGA-PBEsol, optimized geometry); total magnetization = 4.9 μB/cell; energy of formation from the pure elements = 0.528 eV/atom
1.0
4.7090 0.0000 0.0000
0.0000 4.7090 0.0000
0.0000 0.0000 4.7090
Zn Cr Pt
3 1 1
direct
0.0000 0.0000 0.5000
0.0000 0.5000 0.0000
0.5000 0.0000 0.0000
0.5000 0.5000 0.5000
0.0000 0.0000 0.0000

# 5
HfCr3F (GGA-PBEsol, optimized geometry); total magnetization = 3.6 μB/cell; ΔE_f (raw) = 1.5 eV/f.u.
1.0
3.9956 0.0000 0.0000
0.0000 3.9956 0.0000
0.0000 0.0000 3.9956
Hf Cr F
1 3 1
direct
0.0000 0.0000 0.0000
0.0000 0.5000 0.5000
0.5000 0.0000 0.5000
0.5000 0.5000 0.0000
0.5000 0.5000 0.5000

# 6
MnMo3 (GGA-PBEsol, optimized geometry); total magnetization = 1.6 μB/cell; energy of formation from the pure elements = 0.084 eV/atom
1.0
1.5569 -2.1605 0.0000
1.5569 2.1605 0.0000
0.0000 0.0000 8.4815
Mn Mo
1 3
direct
0.0000 0.0000 0.0000
0.0000 0.0000 0.5000
0.5000 0.5000 0.2356
0.5000 0.5000 0.7644

# 7
ZrBe2I (GGA-PBEsol, optimized geometry); total magnetization = 0.0 μB/cell; ΔE_f (raw) = 2.7 eV/f.u.
1.0
-3.5210 3.5210 2.8451
3.5210 -3.5210 2.8451
3.5210 3.5210 -2.8451
Zr Be I
2 4 2
direct
0.0000 0.0000 0.0000
0.7500 0.2500 0.5000
0.1395 0.6250 0.0145
0.3750 0.3895 0.5145
0.6105 0.1250 0.9855
0.8750 0.8605 0.4855
0.2500 0.7500 0.5000
0.5000 0.5000 0.0000

# 8
Pb2BrOF (GGA-PBEsol, optimized geometry); total magnetization = 0.0 μB/cell; ΔE_f (raw) = -7.5 eV/f.u.
1.0
2.8913 -6.3541 0.0000
2.8913 6.3541 0.0000
0.0000 0.0000 5.7943
Pb Br O F
4 2 2 2
direct
0.1013 0.8987 0.7789
0.3987 0.6013 0.7789
0.6013 0.3987 0.2211
0.8987 0.1013 0.2211
0.2500 0.7500 0.2312
0.7500 0.2500 0.7688
0.2500 0.2500 0.0000
0.7500 0.7500 0.0000
0.2500 0.2500 0.5000
0.7500 0.7500 0.5000

# 9
TcCl3 (GGA-PBEsol, optimized geometry); total magnetization = 2.3 μB/cell; ΔE to the lowest computed polymorph = 0.93 eV per formula unit; ΔE_f (raw) = -2.1 eV/f.u.
1.0
2.3615 -6.1971 0.0000
2.3615 6.1971 0.0000
0.0000 0.0000 3.3565
Tc Cl
1 3
direct
0.0000 0.0000 0.0000
0.1354 0.8646 0.5000
0.5000 0.5000 0.0000
0.8646 0.1354 0.5000

# 10
SiSN3 (GGA-PBEsol, optimized geometry); total magnetization = 0.0 μB/cell; ΔE_f (raw) = 7.2 eV/f.u.
1.0
3.4828 0.0000 0.0000
0.0000 3.4828 0.0000
0.0000 0.0000 3.4828
Si S N
1 1 3
direct
0.0000 0.0000 0.0000
0.5000 0.5000 0.5000
0.0000 0.5000 0.5000
0.5000 0.0000 0.5000
0.5000 0.5000 0.0000

# 11
HgOs2Se (GGA-PBEsol, optimized geometry); total magnetization = 0.0 μB/cell; ΔE_f (raw) = 4.4 eV/f.u.
1.0
2.8629 -4.6416 0.0000
2.8629 4.6416 0.0000
-1.3122 0.0000 2.4678
Hg Os Se
1 2 1
direct
0.0000 0.0000 0.0000
0.0000 0.5000 0.0000
0.5000 0.0000 0.0000
0.5000 0.5000 0.0000

# 12
TiSiAs2Pb (GGA-PBEsol, optimized geometry); total magnetization = 1.9 μB/cell; ΔE_f (raw) = 7.3 eV/f.u.
1.0
5.2648 0.0000 0.0000
0.0000 5.2648 0.0000
0.0000 0.0000 5.0167
Ti Si As Pb
1 1 2 1
direct
0.0000 0.0000 0.0000
0.5000 0.5000 0.0000
0.0000 0.5000 0.5000
0.5000 0.0000 0.5000
0.5000 0.5000 0.5000

# 13
Zn5Ag (GGA-PBEsol, optimized geometry); total magnetization = 0.0 μB/cell; energy of formation from the pure elements = -0.003 eV/atom
1.0
1.9047 -5.8024 0.0000
1.9047 5.8024 0.0000
0.0000 0.0000 3.9023
Zn Ag
5 1
direct
0.0000 0.0000 0.0000
0.1699 0.8301 0.5000
0.3293 0.6707 0.0000
0.6707 0.3293 0.0000
0.8301 0.1699 0.5000
0.5000 0.5000 0.5000

# 14
LaInSi2 (GGA-PBEsol, optimized geometry); total magnetization = 0.0 μB/cell; ΔE_f (raw) = -0.9 eV/f.u.
1.0
2.5514 -2.6382 0.0000
2.5514 2.6382 0.0000
0.0000 0.0000 6.4564
La In Si
1 1 2
direct
0.0000 0.0000 0.0000
0.0000 0.0000 0.5000
0.5000 0.5000 0.3076
0.5000 0.5000 0.6924

# 15
CeAl3Cu (GGA-PBEsol, optimized geometry); total magnetization = 0.7 μB/cell; ΔE to the lowest computed polymorph = 0.48 eV per formula unit; energy of formation from the pure elements = -0.287 eV/atom
1.0
-2.0683 2.0683 5.4105
2.0683 -2.0683 5.4105
2.0683 2.0683 -5.4105
Ce Al Cu
1 3 1
direct
0.0000 0.0000 0.0000
0.2500 0.7500 0.5000
0.3840 0.3840 0.0000
0.6160 0.6160 0.0000
0.7500 0.2500 0.5000

# 16
NiOs2Pb (GGA-PBEsol, optimized geometry); total magnetization = 0.0 μB/cell; energy of formation from the pure elements = 0.861 eV/atom
1.0
2.8645 0.0000 0.0000
0.0000 4.5560 0.0000
0.0000 0.0000 4.7210
Ni Os Pb
1 2 1
direct
0.0000 0.0000 0.0000
0.0000 0.5000 0.5000
0.5000 0.0000 0.5000
0.5000 0.5000 0.0000

# 17
K3Au (GGA-PBEsol, optimized geometry); total magnetization = 0.0 μB/cell; energy of formation from the pure elements = -0.034 eV/atom
1.0
2.3178 1.3382 11.1900
-2.3178 1.3382 11.1900
0.0000 -2.6764 11.1900
K Au
3 1
direct
0.0000 0.0000 0.0000
0.2209 0.2209 0.2209
0.7791 0.7791 0.7791
0.5000 0.5000 0.5000

# 18
YTaIn2 (GGA-PBEsol, optimized geometry); total magnetization = 0.0 μB/cell; energy of formation from the pure elements = 0.025 eV/atom
1.0
5.7498 -1.5986 0.0000
5.7498 1.5986 0.0000
-2.3301 0.0000 4.7613
Y Ta In
1 1 2
direct
0.0000 0.0000 0.0000
0.2498 0.2498 0.8855
0.5122 0.5122 0.4999
0.7602 0.7602 0.3920

# 19
KZr2Ni (GGA-PBEsol, optimized geometry); total magnetization = 0.0 μB/cell; ΔE to the lowest computed polymorph = 2.91 eV per formula unit; energy of formation from the pure elements = 1.010 eV/atom
1.0
-2.0685 2.0685 4.7716
2.0685 -2.0685 4.7716
2.0685 2.0685 -4.7716
K Zr Ni
1 2 1
direct
0.0000 0.0000 0.0000
0.2500 0.7500 0.5000
0.5000 0.5000 0.0000
0.7500 0.2500 0.5000

# 20
ZrPbSe (GGA-PBEsol, optimized geometry); total magnetization = 0.0 μB/cell; ΔE_f (raw) = 1.4 eV/f.u.
1.0
0.0000 3.4526 3.4526
3.4526 0.0000 3.4526
3.4526 3.4526 0.0000
Zr Pb Se
1 1 1
direct
0.0000 0.0000 0.0000
0.7500 0.7500 0.7500
0.5000 0.5000 0.5000